No. 1
VASP calculation (PBE) on a relaxed structure of Sm5Tl8Cd.

abc: 9.481 9.481 9.173
angles: 90.00 90.00 90.00
Space group I-4 (No. 82)
Inequivalent atoms, fractional coordinates:
Sm1 0.000 0.000 0.000 [2 per cell]
Sm2 0.115 0.261 0.362 [8 per cell]
Tl1 0.072 0.175 0.703 [8 per cell]
Tl2 0.085 0.329 0.021 [8 per cell]
Cd1 0.000 0.500 0.750 [2 per cell]

Results
Volume: 824.6 Å³ per cell

***

No. 2
VASP calculation (PBE) on a relaxed structure of Sm4TlCd2.

abc: 5.3496 5.3496 25.6671
angles: 90.00 90.00 120.00
Space group R-3m (No. 166, hexagonal axes)
Inequivalent atoms, fractional coordinates:
Sm1 0.0000 0.0000 0.1164 [6 per cell]
Sm2 0.0000 0.0000 0.3698 [6 per cell]
Tl1 0.0000 0.0000 0.5000 [3 per cell]
Cd1 0.0000 0.0000 0.2461 [6 per cell]

Results
Energy above the most stable polymorph in this dataset: 0 meV/atom
Volume: 636.1 Å³ per cell

***

No. 3
VASP calculation (PBE) on a relaxed structure of SmTlCd17.

abc: 10.1872 10.1872 15.0995
angles: 90.00 90.00 120.00
Space group R3m (No. 160, hexagonal axes)
Inequivalent atoms, fractional coordinates:
Sm1 0.0000 0.0000 0.0000 [3 per cell]
Tl1 0.0000 0.0000 0.6825 [3 per cell]
Cd1 0.0000 0.0000 0.2267 [3 per cell]
Cd2 0.0000 0.0000 0.4268 [3 per cell]
Cd3 0.9995 0.3016 0.3301 [18 per cell]
Cd4 0.1738 0.3476 0.8094 [9 per cell]
Cd5 0.1750 0.3500 0.1662 [9 per cell]
Cd6 0.1879 0.3758 0.5145 [9 per cell]

Results
Volume: 1357.1 Å³ per cell

***

| no. | E_form (eV/atom) | density of states at the Fermi level (states/eV per cell) | theoretical density (Mg/m³) |
| --- | --- | --- | --- |
| 1 | -0.203 | 20.96 | 10.07 |
| 2 | -0.171 | 28.51 | 8.07 |
| 3 | -0.055 | 16.88 | 8.32 |